No. 1
Here is a relaxed Nd3CdOs crystal from the Alexandria database. Energies are from PBE.

Computed properties:
- DOS at the Fermi energy (states/eV/f.u.) = 4.3
- offset from the most stable computed form (meV/atom) = 227
- symmetry = Pm-3m (221)
- V (Å³ per atom) = 34.2

abc: 5.550 5.550 5.550
angles: 90.00 90.00 90.00
Positions (direct):
Nd1 0.000 0.000 0.500
Nd2 0.000 0.500 0.000
Nd3 0.500 0.000 0.000
Cd1 0.500 0.500 0.500
Os1 0.000 0.000 0.000

---

No. 2
Here is a relaxed TlAg4F8 crystal from the Alexandria database. Energies are from PBE.

Computed properties:
- DOS at the Fermi energy (states/eV/f.u.) = 5.0
- symmetry = R-3m (166)
- V (Å³ per atom) = 18.8
- formation energy (no corrections) (eV/atom) = -1.220

abc: 7.050 7.050 7.050
angles: 59.43 59.43 59.43
Positions (direct):
Tl1 0.000 0.000 0.000
Ag1 0.000 0.000 0.500
Ag2 0.000 0.500 0.000
Ag3 0.500 0.000 0.000
Ag4 0.500 0.500 0.500
F1 0.219 0.219 0.219
F2 0.219 0.774 0.774
F3 0.226 0.226 0.781
F4 0.226 0.781 0.226
F5 0.774 0.219 0.774
F6 0.774 0.774 0.219
F7 0.781 0.226 0.226
F8 0.781 0.781 0.781

---

Copy entry 1 word for word.
Here is a relaxed Nd3CdOs crystal from the Alexandria database. Energies are from PBE.

Computed properties:
- DOS at the Fermi energy (states/eV/f.u.) = 4.3
- offset from the most stable computed form (meV/atom) = 227
- symmetry = Pm-3m (221)
- V (Å³ per atom) = 34.2

abc: 5.550 5.550 5.550
angles: 90.00 90.00 90.00
Positions (direct):
Nd1 0.000 0.000 0.500
Nd2 0.000 0.500 0.000
Nd3 0.500 0.000 0.000
Cd1 0.500 0.500 0.500
Os1 0.000 0.000 0.000

---

> Which of these has the lowest V?

TlAg4F8